DFT (PBEsol) results for a relaxed MgTlF2 crystal.

Calculated values
SG   No. 225
Energy relative to the elements, uncorrected   -1.500 eV/atom
Final energy   -14.2 eV/cell
Fermi-level density of states   3.077 states/eV/cell
Calculated volume   16.1 Å³ per atom

```
4
Lattice="4.503 0.000 0.000 2.251 3.900 0.000 2.251 1.300 3.677" Properties=species:S:1:pos:R:3 pbc="T T T"
F 2.251 1.300 0.919
Tl 4.503 2.600 1.838
Mg 0.000 0.000 0.000
F 6.754 3.900 2.757
```

DFT (PBEsol) results for a relaxed MgVF6 crystal.

Calculated values
SG   No. 148
Energy relative to the elements, uncorrected   -3.111 eV/atom
Final energy   -47.8 eV/cell
Fermi-level density of states   7.785 states/eV/cell
Calculated volume   13.1 Å³ per atom

```
8
Lattice="-4.369 -0.303 -2.853 -1.414 -4.555 -2.138 -4.234 -2.611 1.975" Properties=species:S:1:pos:R:3 pbc="T T T"
V 0.000 0.000 0.000
Mg -5.009 -3.735 -1.508
F -6.766 -2.957 -1.019
F -4.342 -1.929 -1.984
F -5.676 -5.541 -1.032
F -5.641 -3.992 -3.370
F -4.377 -3.477 0.354
F -3.251 -4.512 -1.997
```

DFT (PBEsol) results for a relaxed MgWF6 crystal.

Calculated values
SG   No. 148
Energy relative to the elements, uncorrected   -2.758 eV/atom
Final energy   -49.2 eV/cell
Fermi-level density of states   10.780 states/eV/cell
Calculated volume   14.2 Å³ per atom

```
8
Lattice="5.329 0.000 0.000 2.664 4.615 0.000 2.664 1.538 4.606" Properties=species:S:1:pos:R:3 pbc="T T T"
F 6.903 2.707 3.451
F 6.436 4.255 1.154
W 0.000 0.000 0.000
F 4.862 4.624 3.451
Mg 5.329 3.077 2.303
F 4.222 1.899 3.451
F 5.796 1.529 1.154
F 3.755 3.446 1.154
```